Be3AlIn | GGA-PBEsol | relaxed

Computed properties:
DFT formation energy = 1.027 eV per atom
E_tot = -13.94 eV/cell

```
Be3AlIn
1.0
4.416 0.000 0.000
0.000 4.416 0.000
0.000 0.000 4.416
Be Al In
3 1 1
direct
0.000 0.500 0.000
0.000 0.000 0.500
0.500 0.000 0.000
0.000 0.000 0.000
0.500 0.500 0.500
```